(1)
The following is a DFT calculation (PBE-GGA) of a relaxed structure of Cs3Ho2ZrS6.

Values from the calculation:
Density of states at the Fermi level = 3.90 states/eV/cell
Space group = C2/m (12)
Formation energy from raw total energies = -20.09 eV per formula unit

Geometry as CIF:
```
data_Cs3Ho2ZrS6
_cell_length_a 6.920
_cell_length_b 6.920
_cell_length_c 8.389
_cell_angle_alpha 97.91
_cell_angle_beta 97.91
_cell_angle_gamma 120.00
_space_group_name_H-M_alt 'P 1'
_space_group_IT_number 1
_space_group_name_Hall 'P 1'
loop_
_atom_site_label
_atom_site_fract_x
_atom_site_fract_y
_atom_site_fract_z
Cs1 0.000 0.000 0.000
Cs2 0.332 0.668 0.000
Cs3 0.668 0.332 0.000
Ho1 0.167 0.833 0.500
Ho2 0.833 0.167 0.500
Zr1 0.500 0.500 0.500
S1 0.118 0.440 0.320
S2 0.239 0.239 0.681
S3 0.440 0.118 0.320
S4 0.560 0.882 0.680
S5 0.761 0.761 0.319
S6 0.882 0.560 0.680
```



(2)
The following is a DFT calculation (PBE-GGA) of a relaxed structure of Cs3Ho3ZrS8.

Values from the calculation:
Density of states at the Fermi level = 0.00 states/eV/cell
Space group = R-3m (166)
Formation energy from raw total energies = -27.04 eV per formula unit

Geometry as CIF:
```
data_Cs3Ho3ZrS8
_cell_length_a 9.411
_cell_length_b 9.411
_cell_length_c 9.411
_cell_angle_alpha 50.04
_cell_angle_beta 50.04
_cell_angle_gamma 50.04
_space_group_name_H-M_alt 'P 1'
_space_group_IT_number 1
_space_group_name_Hall 'P 1'
loop_
_atom_site_label
_atom_site_fract_x
_atom_site_fract_y
_atom_site_fract_z
Cs1 0.000 0.500 0.500
Cs2 0.500 0.000 0.500
Cs3 0.500 0.500 0.000
Ho1 0.000 0.000 0.500
Ho2 0.000 0.500 0.000
Ho3 0.500 0.000 0.000
Zr1 0.500 0.500 0.500
S1 0.227 0.227 0.227
S2 0.240 0.718 0.718
S3 0.282 0.282 0.760
S4 0.282 0.760 0.282
S5 0.718 0.240 0.718
S6 0.718 0.718 0.240
S7 0.760 0.282 0.282
S8 0.773 0.773 0.773
```



(3)
The following is a DFT calculation (PBE-GGA) of a relaxed structure of CsHoSb2.

Values from the calculation:
Density of states at the Fermi level = 3.74 states/eV/cell
Space group = R-3m (166)
Formation energy from raw total energies = -1.93 eV per formula unit

Geometry as CIF:
```
data_CsHoSb2
_cell_length_a 8.827
_cell_length_b 8.827
_cell_length_c 8.827
_cell_angle_alpha 31.32
_cell_angle_beta 31.32
_cell_angle_gamma 31.32
_space_group_name_H-M_alt 'P 1'
_space_group_IT_number 1
_space_group_name_Hall 'P 1'
loop_
_atom_site_label
_atom_site_fract_x
_atom_site_fract_y
_atom_site_fract_z
Cs1 0.000 0.000 0.000
Ho1 0.500 0.500 0.500
Sb1 0.222 0.222 0.222
Sb2 0.778 0.778 0.778
```



(4)
The following is a DFT calculation (PBE-GGA) of a relaxed structure of Cs3HoSb2Se6.

Values from the calculation:
Space group = C2/m (12)
Formation energy from raw total energies = -12.25 eV per formula unit

Geometry as CIF:
```
data_Cs3HoSb2Se6
_cell_length_a 7.450
_cell_length_b 7.450
_cell_length_c 8.692
_cell_angle_alpha 98.21
_cell_angle_beta 98.21
_cell_angle_gamma 120.00
_space_group_name_H-M_alt 'P 1'
_space_group_IT_number 1
_space_group_name_Hall 'P 1'
loop_
_atom_site_label
_atom_site_fract_x
_atom_site_fract_y
_atom_site_fract_z
Cs1 0.000 0.000 0.000
Cs2 0.332 0.668 0.000
Cs3 0.668 0.332 0.000
Ho1 0.500 0.500 0.500
Sb1 0.166 0.834 0.500
Sb2 0.834 0.166 0.500
Se1 0.108 0.438 0.315
Se2 0.232 0.232 0.686
Se3 0.438 0.108 0.315
Se4 0.562 0.892 0.685
Se5 0.768 0.768 0.314
Se6 0.892 0.562 0.685
```



(5)
The following is a DFT calculation (PBE-GGA) of a relaxed structure of Cs3Ho3SbSe8.

Values from the calculation:
Density of states at the Fermi level = 2.20 states/eV/cell
Space group = R-3m (166)
Formation energy from raw total energies = -21.30 eV per formula unit

Geometry as CIF:
```
data_Cs3Ho3SbSe8
_cell_length_a 9.814
_cell_length_b 9.814
_cell_length_c 9.814
_cell_angle_alpha 50.39
_cell_angle_beta 50.39
_cell_angle_gamma 50.39
_space_group_name_H-M_alt 'P 1'
_space_group_IT_number 1
_space_group_name_Hall 'P 1'
loop_
_atom_site_label
_atom_site_fract_x
_atom_site_fract_y
_atom_site_fract_z
Cs1 0.000 0.500 0.500
Cs2 0.500 0.000 0.500
Cs3 0.500 0.500 0.000
Ho1 0.000 0.000 0.500
Ho2 0.000 0.500 0.000
Ho3 0.500 0.000 0.000
Sb1 0.500 0.500 0.500
Se1 0.228 0.228 0.228
Se2 0.233 0.724 0.724
Se3 0.276 0.276 0.767
Se4 0.276 0.767 0.276
Se5 0.724 0.233 0.724
Se6 0.724 0.724 0.233
Se7 0.767 0.276 0.276
Se8 0.772 0.772 0.772
```



(6)
The following is a DFT calculation (PBE-GGA) of a relaxed structure of Cs3HoSb2Te6.

Values from the calculation:
Space group = C2/m (12)
Formation energy from raw total energies = -9.69 eV per formula unit

Geometry as CIF:
```
data_Cs3HoSb2Te6
_cell_length_a 7.933
_cell_length_b 7.933
_cell_length_c 9.272
_cell_angle_alpha 98.20
_cell_angle_beta 98.20
_cell_angle_gamma 120.00
_space_group_name_H-M_alt 'P 1'
_space_group_IT_number 1
_space_group_name_Hall 'P 1'
loop_
_atom_site_label
_atom_site_fract_x
_atom_site_fract_y
_atom_site_fract_z
Cs1 0.000 0.000 0.000
Cs2 0.333 0.667 0.000
Cs3 0.667 0.333 0.000
Ho1 0.500 0.500 0.500
Sb1 0.167 0.833 0.500
Sb2 0.833 0.167 0.500
Te1 0.105 0.438 0.313
Te2 0.230 0.230 0.687
Te3 0.438 0.105 0.313
Te4 0.562 0.895 0.687
Te5 0.770 0.770 0.313
Te6 0.895 0.562 0.687
```



Asked for density across the records above, the calculation gives 5026 4573 5448 5312 5292 5392 kg/m³ in order.
Asked for volume across the records above, the calculation gives 334 451 165 400 517 484 Å³ per cell in order.
Asked for spin magnetization across the records above, the calculation gives 0.000 0.000 0.000 0.000 0.000 0.000 μB per formula unit in order.